Record 1
Compound: In5CoIr
Source: the Open Quantum Materials Database
Functional: PBE
Structure: relaxed

Unit cell a=4.662 b=4.662 c=6.785 alpha=90.00 beta=90.00 gamma=90.00
Site moments in Bohr magnetons follow the coordinates.
Fractional positions:
In  0.500  0.000  0.276  -0.01
In  0.000  0.500  0.276  0.00
In  0.500  0.500  0.000  0.00
Co  0.000  0.000  0.000  1.22
Ir  0.000  0.000  0.500  0.07
In  0.000  0.500  0.724  0.00
In  0.500  0.000  0.724  -0.01

Properties
Uncorrected energy (eV per atom): -4.086

***

Record 2
Compound: LuInCoIr
Source: the Open Quantum Materials Database
Functional: PBE
Structure: relaxed

Unit cell a=4.596 b=4.596 c=4.596 alpha=60.00 beta=60.00 gamma=60.00
Site moments in Bohr magnetons follow the coordinates.
Fractional positions:
In  0.000  0.000  0.000  -0.01
Ir  0.250  0.250  0.250  -0.01
Lu  0.500  0.500  0.500  -0.03
Co  0.750  0.750  0.750  0.11

Properties
Energy relative to the lowest polymorph listed for this composition (meV/atom): 0.0
Uncorrected energy (eV per atom): -6.198